[1]
First-principles (GGA-PBE) data for a relaxed Fe2OsBr crystal, as listed in Alexandria.

CIF file:
```
data_Fe2OsBr
_symmetry_space_group_name_H-M 'P 1'
_symmetry_Int_Tables_number 1
_symmetry_space_group_name_Hall 'P 1'
_cell_length_a 4.7165
_cell_length_b 4.7165
_cell_length_c 2.8592
_cell_angle_alpha 90.12
_cell_angle_beta 90.12
_cell_angle_gamma 110.09
loop_
_atom_site_label
_atom_site_type_symbol
_atom_site_fract_x
_atom_site_fract_y
_atom_site_fract_z
Fe1 Fe 0.0000 0.5000 0.0000
Fe2 Fe 0.5000 0.0000 0.0000
Os1 Os 0.0000 0.0000 0.5000
Br1 Br 0.5000 0.5000 0.5000
```

Results
- Energy relative to the elements, uncorrected: 0.8857 eV per atom
- Distance to the lowest polymorph of the same formula: 356 meV per atom
- Size of the total moment: 6.5 μB per formula unit

=====

[2]
First-principles (GGA-PBE) data for a relaxed Fe2OsBr crystal, as listed in Alexandria.

CIF file:
```
data_Fe2OsBr
_symmetry_space_group_name_H-M 'P 1'
_symmetry_Int_Tables_number 1
_symmetry_space_group_name_Hall 'P 1'
_cell_length_a 6.1692
_cell_length_b 6.1692
_cell_length_c 6.1692
_cell_angle_alpha 125.45
_cell_angle_beta 125.45
_cell_angle_gamma 80.79
loop_
_atom_site_label
_atom_site_type_symbol
_atom_site_fract_x
_atom_site_fract_y
_atom_site_fract_z
Fe1 Fe 0.1065 0.6250 0.9815
Fe2 Fe 0.3750 0.3565 0.4815
Fe3 Fe 0.6435 0.1250 0.0185
Fe4 Fe 0.8750 0.8935 0.5185
Os1 Os 0.0000 0.0000 0.0000
Os2 Os 0.7500 0.2500 0.5000
Br1 Br 0.2500 0.7500 0.5000
Br2 Br 0.5000 0.5000 0.0000
```

Results
- Energy relative to the elements, uncorrected: 1.0508 eV per atom
- Distance to the lowest polymorph of the same formula: 521 meV per atom
- Size of the total moment: 1.1 μB per formula unit

=====

[3]
First-principles (GGA-PBE) data for a relaxed Fe2OsBr crystal, as listed in Alexandria.

CIF file:
```
data_Fe2OsBr
_symmetry_space_group_name_H-M 'P 1'
_symmetry_Int_Tables_number 1
_symmetry_space_group_name_Hall 'P 1'
_cell_length_a 2.7600
_cell_length_b 2.7600
_cell_length_c 9.7347
_cell_angle_alpha 90.00
_cell_angle_beta 90.00
_cell_angle_gamma 117.72
loop_
_atom_site_label
_atom_site_type_symbol
_atom_site_fract_x
_atom_site_fract_y
_atom_site_fract_z
Fe1 Fe 0.0000 0.0000 0.0000
Fe2 Fe 0.5000 0.5000 0.2034
Os1 Os 0.0000 0.0000 0.4127
Br1 Br 0.5000 0.5000 0.7761
```

Results
- Energy relative to the elements, uncorrected: 0.7496 eV per atom
- Distance to the lowest polymorph of the same formula: 220 meV per atom
- Size of the total moment: 5.8 μB per formula unit

=====

[4]
First-principles (GGA-PBE) data for a relaxed Fe2OsBr crystal, as listed in Alexandria.

CIF file:
```
data_Fe2OsBr
_symmetry_space_group_name_H-M 'P 1'
_symmetry_Int_Tables_number 1
_symmetry_space_group_name_Hall 'P 1'
_cell_length_a 4.8080
_cell_length_b 4.8080
_cell_length_c 4.8080
_cell_angle_alpha 132.14
_cell_angle_beta 132.14
_cell_angle_gamma 70.01
loop_
_atom_site_label
_atom_site_type_symbol
_atom_site_fract_x
_atom_site_fract_y
_atom_site_fract_z
Fe1 Fe 0.2500 0.7500 0.5000
Fe2 Fe 0.7500 0.2500 0.5000
Os1 Os 0.0000 0.0000 0.0000
Br1 Br 0.5000 0.5000 0.0000
```

Results
- Energy relative to the elements, uncorrected: 1.1379 eV per atom
- Distance to the lowest polymorph of the same formula: 608 meV per atom
- Size of the total moment: 6.8 μB per formula unit

=====

Q: What is the formula in the fourth record?
A: Fe2OsBr

=====

Q: Number 2 is which compound?
A: Fe2OsBr

=====

Please write out number 4 again, unchanged.
First-principles (GGA-PBE) data for a relaxed Fe2OsBr crystal, as listed in Alexandria.

CIF file:
```
data_Fe2OsBr
_symmetry_space_group_name_H-M 'P 1'
_symmetry_Int_Tables_number 1
_symmetry_space_group_name_Hall 'P 1'
_cell_length_a 4.8080
_cell_length_b 4.8080
_cell_length_c 4.8080
_cell_angle_alpha 132.14
_cell_angle_beta 132.14
_cell_angle_gamma 70.01
loop_
_atom_site_label
_atom_site_type_symbol
_atom_site_fract_x
_atom_site_fract_y
_atom_site_fract_z
Fe1 Fe 0.2500 0.7500 0.5000
Fe2 Fe 0.7500 0.2500 0.5000
Os1 Os 0.0000 0.0000 0.0000
Br1 Br 0.5000 0.5000 0.0000
```

Results
- Energy relative to the elements, uncorrected: 1.1379 eV per atom
- Distance to the lowest polymorph of the same formula: 608 meV per atom
- Size of the total moment: 6.8 μB per formula unit